Compound: Tm2ReOs3
Source: OQMD via LeMat-Bulk
Functional: GGA-PBE
Structure: optimized geometry

Unit cell a=5.3985 b=5.3985 c=8.4764 alpha=90.00 beta=90.00 gamma=120.00
Closest atoms and distances in Å follow each position.
Positions (direct):
Tm  0.6667  0.3333  0.4354  9 Os 3.06-3.12, 4 Tm 3.14-3.30, 3 Re 3.16
Tm  0.3333  0.6667  0.9354  9 Os 3.06-3.12, 4 Tm 3.14-3.30, 3 Re 3.16
Tm  0.6667  0.3333  0.0646  9 Os 3.06-3.12, 4 Tm 3.14-3.30, 3 Re 3.16
Tm  0.3333  0.6667  0.5646  9 Os 3.06-3.12, 4 Tm 3.14-3.30, 3 Re 3.16
Os  0.3463  0.1731  0.7500  4 Os 2.59-2.80, 2 Re 2.67
Os  0.8269  0.1731  0.7500  4 Os 2.59-2.80, 2 Re 2.67
Os  0.6537  0.8269  0.2500  4 Os 2.59-2.80, 2 Re 2.67
Os  0.1731  0.3463  0.2500  4 Os 2.59-2.80, 2 Re 2.67
Os  0.8269  0.6537  0.7500  4 Os 2.59-2.80, 2 Re 2.67
Os  0.1731  0.8269  0.2500  4 Os 2.59-2.80, 2 Re 2.67
Re  0.0000  0.0000  0.0000  6 Os 2.67
Re  0.0000  0.0000  0.5000  6 Os 2.67

Results
formation energy = -355.8 meV/atom
space-group type = P6_3/mmc, No. 194
volume = 17.828 Å³/atom